Crystalline NaLi3Sn at its relaxed geometry. Source: Alexandria, functional GGA-PBE.

a = 8.490 Å, b = 5.870 Å, c = 8.356 Å
α = 90.63°, β = 90.00°, γ = 90.00°
Sites, in units of the cell vectors:
Li 0.147 0.984 0.410
Li 0.867 0.236 0.919
Li 0.367 0.264 0.581
Li 0.353 0.484 0.910
Li 0.866 0.777 0.910
Li 0.134 0.223 0.090
Li 0.634 0.277 0.410
Li 0.366 0.723 0.590
Li 0.133 0.764 0.081
Li 0.647 0.516 0.090
Li 0.633 0.736 0.419
Li 0.853 0.016 0.590
Sn 0.659 0.495 0.720
Sn 0.841 0.995 0.220
Sn 0.159 0.005 0.780
Sn 0.341 0.505 0.280
Na 0.045 0.502 0.675
Na 0.545 0.998 0.825
Na 0.455 0.002 0.175
Na 0.955 0.498 0.325

Computed properties:
**DOS at the Fermi energy**: 4.9 states/eV per cell
**Energy relative to the elements**: -0.259 eV per atom
**Total DFT energy (no corrections)**: -2.4716 eV per atom
**Crystal system**: monoclinic

Crystalline Pr6Cd3Ga at its relaxed geometry. Source: Alexandria, functional GGA-PBE.

a = 5.423 Å, b = 9.533 Å, c = 12.063 Å
α = 107.52°, β = 90.00°, γ = 90.00°
Sites, in units of the cell vectors:
Pr 0.750 0.336 0.330
Pr 0.750 0.529 0.911
Pr 0.750 0.900 0.129
Pr 0.750 0.870 0.845
Pr 0.250 0.130 0.155
Pr 0.250 0.471 0.089
Pr 0.750 0.144 0.673
Pr 0.250 0.100 0.871
Pr 0.250 0.856 0.327
Pr 0.250 0.242 0.502
Pr 0.250 0.664 0.670
Pr 0.750 0.758 0.498
Cd 0.250 0.528 0.373
Cd 0.750 0.472 0.627
Cd 0.750 0.231 0.031
Cd 0.750 0.608 0.219
Cd 0.250 0.392 0.781
Cd 0.250 0.769 0.969
Ga 0.750 0.044 0.396
Ga 0.250 0.956 0.604

Computed properties:
**DOS at the Fermi energy**: 20.6 states/eV per cell
**Energy relative to the elements**: -0.277 eV per atom
**Total DFT energy (no corrections)**: -3.7221 eV per atom
**Crystal system**: monoclinic

Crystalline In2OsPt at its relaxed geometry. Source: Alexandria, functional GGA-PBE.

a = 3.101 Å, b = 3.101 Å, c = 7.324 Å
α = 90.00°, β = 90.00°, γ = 90.00°
Sites, in units of the cell vectors:
In 0.000 0.000 0.009
In 0.000 0.000 0.491
Os 0.500 0.500 0.250
Pt 0.500 0.500 0.750

Computed properties:
**DOS at the Fermi energy**: 2.4 states/eV per cell
**Energy relative to the elements**: 0.105 eV per atom
**Total DFT energy (no corrections)**: -5.5820 eV per atom
**Crystal system**: tetragonal